#i
AgMoW2 | GGA-PBE | optimized geometry Values from VASP.

ρ (g/cm3): 14.574
N(E_F) (states/eV/cell): 3.25
Magnetic moment (μB/f.u.): 0.0
V (Å³ per atom): 16.28

Geometry as Quantum ESPRESSO input:
```
&SYSTEM
  ibrav = 0, nat = 4, ntyp = 3
/
ATOMIC_SPECIES
W 183.84 W.upf
Ag 107.87 Ag.upf
Mo 95.94 Mo.upf
CELL_PARAMETERS angstrom
-0.9223 1.5314 4.4613
-1.9607 -3.7714 2.2429
4.0955 0.2452 -2.5031
ATOMIC_POSITIONS crystal
W 0.0000 0.0000 0.0000
W 0.2500 0.7500 0.5000
Ag 0.5000 0.5000 0.0000
Mo 0.7500 0.2500 0.5000
```

#ii
AgMoW2 | GGA-PBE | optimized geometry Values from VASP.

ρ (g/cm3): 14.710
N(E_F) (states/eV/cell): 1.48
Magnetic moment (μB/f.u.): 0.0
V (Å³ per atom): 16.13

Geometry as Quantum ESPRESSO input:
```
&SYSTEM
  ibrav = 0, nat = 4, ntyp = 3
/
ATOMIC_SPECIES
W 183.84 W.upf
Ag 107.87 Ag.upf
Mo 95.94 Mo.upf
CELL_PARAMETERS angstrom
-0.7421 -3.7244 -1.2444
-0.8075 -1.0948 3.7584
-3.8838 0.9593 -0.5550
ATOMIC_POSITIONS crystal
W 0.5000 0.5000 0.0000
W 0.0000 0.0000 0.0000
Ag 0.5000 0.0000 0.5000
Mo 0.0000 0.5000 0.5000
```

#iii
AgMoW2 | GGA-PBE | optimized geometry Values from VASP.

ρ (g/cm3): 14.610
N(E_F) (states/eV/cell): 3.28
Magnetic moment (μB/f.u.): 0.0
V (Å³ per atom): 16.24

Geometry as Quantum ESPRESSO input:
```
&SYSTEM
  ibrav = 0, nat = 4, ntyp = 3
/
ATOMIC_SPECIES
Ag 107.87 Ag.upf
W 183.84 W.upf
Mo 95.94 Mo.upf
CELL_PARAMETERS angstrom
-0.3644 -4.8367 -0.5252
3.4739 -1.4426 -3.1070
0.2533 2.7650 4.0116
ATOMIC_POSITIONS crystal
Ag 0.2500 0.7500 0.5000
W 0.0000 0.0000 0.0000
W 0.5000 0.5000 0.0000
Mo 0.7500 0.2500 0.5000
```

#iv
AgMoW2 | GGA-PBE | optimized geometry Values from VASP.

ρ (g/cm3): 14.464
N(E_F) (states/eV/cell): 2.74
Magnetic moment (μB/f.u.): 0.0
V (Å³ per atom): 16.40

Geometry as Quantum ESPRESSO input:
```
&SYSTEM
  ibrav = 0, nat = 4, ntyp = 3
/
ATOMIC_SPECIES
W 183.84 W.upf
Ag 107.87 Ag.upf
Mo 95.94 Mo.upf
CELL_PARAMETERS angstrom
4.9167 -0.0041 0.0099
4.1937 2.5665 0.0099
0.5392 0.1517 5.1934
ATOMIC_POSITIONS crystal
W 0.7508 0.7508 0.7491
W 0.0005 0.0005 0.0000
Ag 0.4999 0.4999 0.4992
Mo 0.2488 0.2488 0.2517
```

If you had to name the least stable structure above, which would it be? It would be #i.